{"formula": "BaLa2RuPt", "functional": "GGA-PBEsol", "state": "relaxed", "lattice_angstrom": [[5.482, 0.000, 0.000], [0.000, 5.482, 0.000], [0.000, 0.000, 5.879]], "species": ["Ba", "La", "La", "Ru", "Pt"], "frac_coords": [[0.000, 0.000, 0.000], [0.000, 0.500, 0.500], [0.500, 0.000, 0.500], [0.500, 0.500, 0.000], [0.000, 0.000, 0.500]], "e_form_ev_per_atom": 0.5084, "dft_energy_ev_per_atom": -5.487, "sg": "P4/mmm"}



{"formula": "RbBaLa3", "functional": "GGA-PBEsol", "state": "relaxed", "lattice_angstrom": [[5.930, 0.000, 0.000], [0.000, 5.930, 0.000], [0.000, 0.000, 5.930]], "species": ["Rb", "Ba", "La", "La", "La"], "frac_coords": [[0.000, 0.000, 0.000], [0.500, 0.500, 0.500], [0.000, 0.000, 0.500], [0.000, 0.500, 0.000], [0.500, 0.000, 0.000]], "e_form_ev_per_atom": 0.8271, "dft_energy_ev_per_atom": -3.015, "sg": "Pm-3m"}



{"formula": "Rb2BaLaSc", "functional": "GGA-PBEsol", "state": "relaxed", "lattice_angstrom": [[6.448, 0.000, 0.000], [0.000, 6.448, 0.000], [0.000, 0.000, 6.129]], "species": ["Rb", "Rb", "Ba", "La", "Sc"], "frac_coords": [[0.000, 0.500, 0.000], [0.500, 0.000, 0.000], [0.000, 0.000, 0.000], [0.000, 0.000, 0.500], [0.500, 0.500, 0.500]], "e_form_ev_per_atom": 1.2198, "dft_energy_ev_per_atom": -2.010, "sg": "P4/mmm"}



{"formula": "BaLa2Re", "functional": "GGA-PBEsol", "state": "relaxed", "lattice_angstrom": [[-2.655, 2.655, 3.771], [2.655, -2.655, 3.771], [2.655, 2.655, -3.771]], "species": ["Ba", "La", "La", "Re"], "frac_coords": [[0.000, 0.000, 0.000], [0.250, 0.750, 0.500], [0.750, 0.250, 0.500], [0.500, 0.500, 0.000]], "e_form_ev_per_atom": 0.5837, "dft_energy_ev_per_atom": -5.960, "sg": "I4/mmm"}